--- one ---
Below is an optimized crystal structure of TaNb2Cl, with properties calculated at the PBE-GGA level.

It has space group I-42d (No. 122), with a = 3.925 Å, b = 3.925 Å, c = 19.656 Å, α = 90.00°, β = 90.00° and γ = 90.00°. The inequivalent atoms are Ta at (0.000, 0.000, 0.000), Nb at (0.247, 0.250, 0.125) and Cl at (0.000, 0.000, 0.500).

---

--- two ---
Below is an optimized crystal structure of TaNb2Cl, with properties calculated at the PBE-GGA level.

It has space group Fm-3m (No. 225), with a = 6.616 Å, b = 6.616 Å, c = 6.616 Å, α = 90.00°, β = 90.00° and γ = 90.00°. The inequivalent atoms are Ta at (0.000, 0.000, 0.000), Nb at (0.250, 0.250, 0.250) and Cl at (0.000, 0.000, 0.500).

---

Which of them is the most stable, and which is the least stable? two and one, in that order.

---

--- one ---
Below is an optimized crystal structure of TaNbCl3, with properties calculated at the PBE-GGA level.

It has space group Pm-3m (No. 221), with a = 4.933 Å, b = 4.933 Å, c = 4.933 Å, α = 90.00°, β = 90.00° and γ = 90.00°. The inequivalent atoms are Ta at (0.000, 0.000, 0.000), Nb at (0.500, 0.500, 0.500) and Cl at (0.000, 0.500, 0.500).

---

--- two ---
Below is an optimized crystal structure of TaNbCl3, with properties calculated at the PBE-GGA level.

It has space group Pm-3m (No. 221), with a = 4.891 Å, b = 4.891 Å, c = 4.891 Å, α = 90.00°, β = 90.00° and γ = 90.00°. The inequivalent atoms are Ta at (0.000, 0.000, 0.000), Nb at (0.500, 0.500, 0.500) and Cl at (0.000, 0.000, 0.500).

---

Which of them is the most stable, and which is the least stable? two and one, in that order.

---

--- one ---
Below is an optimized crystal structure of NbTcCl2, with properties calculated at the PBE-GGA level.

It has space group Fm-3m (No. 225), with a = 6.232 Å, b = 6.232 Å, c = 6.232 Å, α = 90.00°, β = 90.00° and γ = 90.00°. The inequivalent atoms are Nb at (0.000, 0.000, 0.000), Tc at (0.000, 0.000, 0.500) and Cl at (0.250, 0.250, 0.250).

---

--- two ---
Below is an optimized crystal structure of NbTcCl2, with properties calculated at the PBE-GGA level.

It has space group I-42d (No. 122), with a = 5.564 Å, b = 5.564 Å, c = 10.333 Å, α = 90.00°, β = 90.00° and γ = 90.00°. The inequivalent atoms are Nb at (0.000, 0.000, 0.000), Tc at (0.000, 0.000, 0.500) and Cl at (0.234, 0.250, 0.625).

---

Which of them is the most stable, and which is the least stable? one and two, in that order.